Density functional theory data (PBE) for a relaxed SrFe2Se crystal.

## Properties
The calculation puts the formation energy (no corrections) at 3.10 kcal/mol of atoms. The calculation puts the magnetic moment at 5.49 Bohr magnetons per cell. Its space group is Imm2, No. 44.

Cell lengths 5.095, 5.095, 5.095 Å; angles 131.66, 108.89, 90.66 degrees
Atoms (fractional coordinates):
Sr 0.000 0.000 0.000
Fe 0.333 0.833 0.500
Fe 0.509 0.509 0.000
Se 0.676 0.176 0.500

***

Density functional theory data (PBE) for a relaxed PrSm4Dy6 crystal.

## Properties
The calculation puts the magnetic moment at 0.00 Bohr magnetons per cell. The value obtained for the formation energy is 3.5 eV per formula unit. Its space group is I-42m, No. 121. As for the energy above the lowest structure with this stoichiometry: 0 kJ/mol of formula units.

Cell lengths 9.754, 9.754, 9.754 Å; angles 140.16, 140.16, 57.60 degrees
Atoms (fractional coordinates):
Pr 0.000 0.000 0.000
Sm 0.014 0.635 0.000
Sm 0.365 0.365 0.378
Sm 0.635 0.014 0.000
Sm 0.986 0.986 0.622
Dy 0.000 0.500 0.500
Dy 0.194 0.194 0.643
Dy 0.449 0.806 0.000
Dy 0.500 0.000 0.500
Dy 0.551 0.551 0.357
Dy 0.806 0.449 0.000

***

Density functional theory data (PBE) for a relaxed Cs2Rb6Au crystal.

## Properties
The calculation puts the magnetic moment at 0.00 Bohr magnetons per cell. The value obtained for the formation energy is -0.5 eV per formula unit. Its space group is Fm-3m, No. 225.

Cell lengths 10.164, 10.164, 10.164 Å; angles 60.00, 60.00, 60.00 degrees
Atoms (fractional coordinates):
Cs 0.250 0.250 0.250
Cs 0.750 0.750 0.750
Rb 0.245 0.245 0.755
Rb 0.245 0.755 0.245
Rb 0.245 0.755 0.755
Rb 0.755 0.245 0.245
Rb 0.755 0.245 0.755
Rb 0.755 0.755 0.245
Au 0.000 0.000 0.000

***

Density functional theory data (PBE) for a relaxed KHgAsSe2 crystal.

## Properties
The calculation puts the formation energy (no corrections) at 21.73 kcal/mol of atoms. The calculation puts the magnetic moment at 6.00 Bohr magnetons per cell. Its space group is P4/mmm, No. 123. As for the energy above the lowest structure with this stoichiometry: 371 kJ/mol of formula units.

Cell lengths 6.400, 6.400, 6.951 Å; angles 90.00, 90.00, 90.00 degrees
Atoms (fractional coordinates):
K 0.000 0.000 0.000
Hg 0.500 0.500 0.500
As 0.000 0.000 0.500
Se 0.000 0.500 0.000
Se 0.500 0.000 0.000

***

Density functional theory data (PBE) for a relaxed Mn2CuN crystal.

## Properties
The calculation puts the formation energy (no corrections) at 4.18 kcal/mol of atoms. The calculation puts the magnetic moment at 4.97 Bohr magnetons per cell. Its space group is R-3m, No. 166.

Cell lengths 7.357, 7.357, 7.357 Å; angles 21.57, 21.57, 21.57 degrees
Atoms (fractional coordinates):
Mn 0.115 0.115 0.115
Mn 0.885 0.885 0.885
Cu 0.000 0.000 0.000
N 0.500 0.500 0.500

***

Density functional theory data (PBE) for a relaxed Sm3ErTm2 crystal.

## Properties
The calculation puts the magnetic moment at 0.00 Bohr magnetons per cell. The value obtained for the formation energy is 0.0 eV per formula unit. Its space group is C2/c, No. 15. As for the energy above the lowest structure with this stoichiometry: 0 kJ/mol of formula units.

Cell lengths 9.544, 9.544, 6.221 Å; angles 102.56, 102.56, 44.18 degrees
Atoms (fractional coordinates):
Sm 0.043 0.293 0.027
Sm 0.127 0.873 0.750
Sm 0.293 0.043 0.527
Sm 0.707 0.957 0.473
Sm 0.873 0.127 0.250
Sm 0.957 0.707 0.973
Er 0.377 0.623 0.250
Er 0.623 0.377 0.750
Tm 0.210 0.458 0.472
Tm 0.458 0.210 0.972
Tm 0.542 0.790 0.028
Tm 0.790 0.542 0.528

***

Density functional theory data (PBE) for a relaxed Ho2MgHg3 crystal.

## Properties
The calculation puts the magnetic moment at 0.00 Bohr magnetons per cell. The value obtained for the formation energy is -2.8 eV per formula unit. Its space group is P-3m1, No. 164. As for the energy above the lowest structure with this stoichiometry: 0 kJ/mol of formula units.

Cell lengths 5.099, 5.099, 12.710 Å; angles 90.00, 90.00, 120.00 degrees
Atoms (fractional coordinates):
Ho 0.000 0.000 0.000
Ho 0.000 0.000 0.500
Ho 0.333 0.667 0.177
Ho 0.667 0.333 0.823
Mg 0.333 0.667 0.663
Mg 0.667 0.333 0.337
Hg 0.000 0.000 0.254
Hg 0.000 0.000 0.746
Hg 0.333 0.667 0.420
Hg 0.333 0.667 0.916
Hg 0.667 0.333 0.084
Hg 0.667 0.333 0.580

***

Density functional theory data (PBE) for a relaxed LiNd2TmSe4 crystal.

## Properties
The calculation puts the formation energy (no corrections) at -40.20 kcal/mol of atoms. The calculation puts the magnetic moment at 0.00 Bohr magnetons per cell. Its space group is P2/m, No. 10.

Cell lengths 7.093, 4.107, 7.159 Å; angles 90.00, 109.23, 90.00 degrees
Atoms (fractional coordinates):
Li 0.000 0.000 0.000
Nd 0.000 0.500 0.500
Nd 0.500 0.000 0.500
Tm 0.500 0.500 0.000
Se 0.242 0.500 0.230
Se 0.253 0.000 0.771
Se 0.747 0.000 0.229
Se 0.758 0.500 0.770

***

Density functional theory data (PBE) for a relaxed MgAgBi crystal.

## Properties
The calculation puts the magnetic moment at 0.00 Bohr magnetons per cell. The value obtained for the formation energy is 0.0 eV per formula unit. Its space group is P3m1, No. 156.

Cell lengths 4.751, 4.751, 3.774 Å; angles 90.00, 90.00, 120.00 degrees
Atoms (fractional coordinates):
Mg 0.000 0.000 0.000
Ag 0.667 0.333 0.193
Bi 0.333 0.667 0.523

***

Density functional theory data (PBE) for a relaxed Mn2CrRu crystal.

## Properties
The calculation puts the magnetic moment at 3.63 Bohr magnetons per cell. The value obtained for the formation energy is 0.5 eV per formula unit. Its space group is F-43m, No. 216.

Cell lengths 4.129, 4.129, 4.129 Å; angles 60.00, 60.00, 60.00 degrees
Atoms (fractional coordinates):
Mn 0.000 0.000 0.000
Mn 0.250 0.250 0.250
Cr 0.500 0.500 0.500
Ru 0.750 0.750 0.750

***

Density functional theory data (PBE) for a relaxed Ho9Pb3C2 crystal.

## Properties
The calculation puts the magnetic moment at 0.00 Bohr magnetons per cell. The value obtained for the formation energy is -6.4 eV per formula unit. Its space group is P-3m1, No. 164.

Cell lengths 6.909, 6.909, 8.466 Å; angles 90.00, 90.00, 120.00 degrees
Atoms (fractional coordinates):
Ho 0.000 0.500 0.000
Ho 0.170 0.340 0.670
Ho 0.170 0.830 0.670
Ho 0.340 0.170 0.330
Ho 0.500 0.000 0.000
Ho 0.500 0.500 0.000
Ho 0.660 0.830 0.670
Ho 0.830 0.170 0.330
Ho 0.830 0.660 0.330
Pb 0.000 0.000 0.000
Pb 0.333 0.667 0.333
Pb 0.667 0.333 0.667
C 0.333 0.667 0.830
C 0.667 0.333 0.170

***

Density functional theory data (PBE) for a relaxed Y3Ga3Cu2 crystal.

## Properties
The calculation puts the magnetic moment at 0.00 Bohr magnetons per cell. The value obtained for the formation energy is -4.4 eV per formula unit. Its space group is Cmcm, No. 63.

Cell lengths 5.629, 5.629, 14.512 Å; angles 90.00, 90.00, 134.77 degrees
Atoms (fractional coordinates):
Y 0.096 0.904 0.607
Y 0.096 0.904 0.893
Y 0.373 0.627 0.750
Y 0.627 0.373 0.250
Y 0.904 0.096 0.107
Y 0.904 0.096 0.393
Ga 0.335 0.665 0.250
Ga 0.384 0.616 0.539
Ga 0.384 0.616 0.961
Ga 0.616 0.384 0.039
Ga 0.616 0.384 0.461
Ga 0.665 0.335 0.750
Cu 0.200 0.800 0.100
Cu 0.200 0.800 0.400
Cu 0.800 0.200 0.600
Cu 0.800 0.200 0.900

***

Number 1: DOS at the Fermi energy 4.42 states/eV/f.u., calculated total energy -5.3886 eV/atom. Number 2: DOS at the Fermi energy 16.05 states/eV/f.u., calculated total energy -4.3463 eV/atom. Number 3: DOS at the Fermi energy 9.12 states/eV/f.u., calculated total energy -1.2589 eV/atom. Number 4: DOS at the Fermi energy 6.42 states/eV/f.u., calculated total energy -1.6611 eV/atom. Number 5: DOS at the Fermi energy 2.65 states/eV/f.u., calculated total energy -7.5087 eV/atom. Number 6: DOS at the Fermi energy 7.67 states/eV/f.u., calculated total energy -4.6064 eV/atom. Number 7: DOS at the Fermi energy 3.49 states/eV/f.u., calculated total energy -2.4020 eV/atom. Number 8: DOS at the Fermi energy 2.82 states/eV/f.u., calculated total energy -5.4757 eV/atom. Number 9: DOS at the Fermi energy 0.70 states/eV/f.u., calculated total energy -2.7864 eV/atom. Number 10: DOS at the Fermi energy 2.89 states/eV/f.u., calculated total energy -9.1862 eV/atom. Number 11: DOS at the Fermi energy 12.09 states/eV/f.u., calculated total energy -5.5124 eV/atom. Number 12: DOS at the Fermi energy 5.25 states/eV/f.u., calculated total energy -5.1388 eV/atom.